Here is a relaxed structure of TbEr12In3 from Alexandria. Energies are from PBE.

Summary:
For the spin magnetization, the calculation gives 0.00 μB/cell. The energy comes out at -4.412 eV per atom. The calculation puts the energy of formation from the pure elements at -0.1871 eV/atom.

Cell lengths 4.8230, 4.8230, 19.5940 Å; angles 90.00, 90.00, 90.00 degrees
Positions (direct):
Tb 0.0000 0.0000 0.0000
Er 0.0000 0.5000 0.1305
Er 0.0000 0.5000 0.3773
Er 0.0000 0.5000 0.6227
Er 0.0000 0.5000 0.8695
Er 0.5000 0.0000 0.1305
Er 0.5000 0.0000 0.3773
Er 0.5000 0.0000 0.6227
Er 0.5000 0.0000 0.8695
Er 0.5000 0.5000 0.0000
Er 0.5000 0.5000 0.2551
Er 0.5000 0.5000 0.5000
Er 0.5000 0.5000 0.7449
In 0.0000 0.0000 0.2561
In 0.0000 0.0000 0.5000
In 0.0000 0.0000 0.7439